# GGA-PBE KMo2Pb2, optimized geometry
# calculated formation energy = 3.18 eV/f.u.
# total magnetization = 0.0000 μB per atom
# energy above the lowest structure with this stoichiometry = 99 meV/atom
data_KMo2Pb2
_cell_length_a 5.366
_cell_length_b 5.366
_cell_length_c 9.151
_cell_angle_alpha 90.00
_cell_angle_beta 90.00
_cell_angle_gamma 90.00
_symmetry_space_group_name_H-M 'I 4/m m m'
_symmetry_Int_Tables_number 139
_symmetry_space_group_name_Hall '-I 4 2'
loop_
_atom_site_label
_atom_site_type_symbol
_atom_site_fract_x
_atom_site_fract_y
_atom_site_fract_z
_atom_site_occupancy
K1 K 0.000 0.000 0.000 1
Mo1 Mo 0.000 0.000 0.381 1
Pb1 Pb 0.000 0.500 0.250 1